AcNd5Te4 after structural relaxation. Source: the Alexandria database, functional PBE-GGA.

CIF file:
```
data_AcNd5Te4
_chemical_formula_sum 'Ac2 Nd10 Te8'
_symmetry_space_group_name_H-M 'P m m n'
_symmetry_Int_Tables_number 59
_cell_length_a 9.453
_cell_length_b 10.320
_cell_length_c 7.853
_cell_angle_alpha 90.00
_cell_angle_beta 90.00
_cell_angle_gamma 90.00
loop_
_symmetry_equiv_pos_as_xyz
'x,y,z'
'-x,-y,-z'
'-x+1/2,-y+1/2,z'
'x+1/2,y+1/2,-z'
'x+1/2,-y,-z'
'-x+1/2,y,z'
'-x,y+1/2,-z'
'x,-y+1/2,z'
loop_
_atom_site_label
_atom_site_type_symbol
_atom_site_fract_x
_atom_site_fract_y
_atom_site_fract_z
Ac1 Ac 0.250 0.250 0.147
Nd1 Nd 0.047 0.055 0.759
Nd2 Nd 0.250 0.750 0.772
Te1 Te 0.014 0.250 0.452
Te2 Te 0.250 0.551 0.061
```

total magnetic moment: 0.004 μB/f.u.
crystal system: orthorhombic
raw formation energy: -0.847 eV per atom

=====

TeOsSe2N after structural relaxation. Source: the Alexandria database, functional PBE-GGA.

CIF file:
```
data_TeOsSe2N
_chemical_formula_sum 'Te1 Os1 Se2 N1'
_symmetry_space_group_name_H-M 'P 4/m m m'
_symmetry_Int_Tables_number 123
_symmetry_space_group_name_Hall '-P 4 2'
_cell_length_a 5.346
_cell_length_b 5.346
_cell_length_c 3.843
_cell_angle_alpha 90.00
_cell_angle_beta 90.00
_cell_angle_gamma 90.00
loop_
_atom_site_label
_atom_site_type_symbol
_atom_site_fract_x
_atom_site_fract_y
_atom_site_fract_z
Te1 Te 0.000 0.000 0.000
Os1 Os 0.500 0.500 0.500
Se1 Se 0.000 0.500 0.000
N1 N 0.000 0.000 0.500
```

total magnetic moment: 3.043 μB/f.u.
crystal system: tetragonal
offset from the most stable computed form: 1485.1 meV per atom
raw formation energy: 1.888 eV per atom

=====

> Look up the raw formation energy of the second one.

1.888 eV per atom